1.
DFT (PBE-GGA) results for crystalline LaCe3Dy2Te6 at its relaxed geometry.

The structure in extended XYZ format:
```
12
Lattice="-0.4502 -4.0412 -6.5285 6.5574 0.1186 4.0176 -4.2669 -4.5822 4.6427" Properties=species:S:1:pos:R:3 pbc="T T T"
Dy 4.2333 -1.2610 0.5200
Dy 1.8738 -2.6616 -3.0309
Ce 3.2998 -2.8397 4.6472
Ce -1.4596 -5.6649 -2.5154
Ce 0.9201 -4.2523 1.0659
La 0.0000 0.0000 0.0000
Te -1.6285 -4.5261 2.8674
Te 3.4687 -3.9786 -0.7356
Te 1.7056 -1.4127 2.3171
Te -0.7018 -2.8418 -1.3060
Te 0.1346 -7.0920 -0.1853
Te 2.5421 -5.6629 3.4378
```

## Properties
**Symmetry**: C2/m
**E_form (uncorrected)**: -1.380 eV/atom
**Uncorrected energy**: -67.346 eV for the cell shown
**Volume**: 31.4 Å³/atom

2.
DFT (PBE-GGA) results for crystalline LaSmGaRh at its relaxed geometry.

The structure in extended XYZ format:
```
4
Lattice="-2.6435 3.3020 1.1523 0.8941 -0.5969 3.7615 5.7184 2.0297 -1.0371" Properties=species:S:1:pos:R:3 pbc="T T T"
Rh 3.6466 3.0529 -0.3823
Sm 1.3002 1.0885 -0.1363
La 2.3479 4.0504 2.1190
Ga -0.2509 1.8748 2.3915
```

## Properties
**Formation energy from the elements**: -0.683 eV per atom
**Symmetry**: Amm2
**Uncorrected energy**: -22.758 eV for the cell shown
**Volume**: 24.7 Å³/atom
**Polymorph energy (0 for the lowest one)**: 0 meV per atom